No. 1
Computed, not measured: a relaxed Na3BH crystal at the PBE-GGA level of DFT.

Computed properties:
Crystal system = cubic
Total magnetization = 0.00 μB per formula unit
Calculated total energy = -10.7 eV/f.u.
Calculated volume = 17.6 A^3/atom
Energy above the most stable polymorph in this dataset = 0 meV/atom

Cell lengths 4.452, 4.452, 4.452 Å; angles 90.00, 90.00, 90.00 degrees
Fractional positions:
1 Na 0.000 0.500 0.000
2 Na 0.000 0.000 0.500
3 Na 0.500 0.000 0.000
4 B 0.500 0.500 0.500
5 H 0.000 0.000 0.000

---

No. 2
Computed, not measured: a relaxed NaBH4 crystal at the PBE-GGA level of DFT.

Computed properties:
Crystal system = orthorhombic
Total magnetization = 0.00 μB per formula unit
Calculated total energy = -23.5 eV/f.u.
Calculated volume = 9.0 A^3/atom

Cell lengths 4.335, 6.020, 8.242 Å; angles 90.00, 90.00, 90.00 degrees
Fractional positions:
1 Na 0.250 0.262 0.632
2 Na 0.250 0.238 0.132
3 Na 0.750 0.738 0.368
4 Na 0.750 0.762 0.868
5 B 0.250 0.736 0.112
6 B 0.250 0.764 0.612
7 B 0.750 0.264 0.888
8 B 0.750 0.236 0.388
9 H 0.250 0.627 0.986
10 H 0.250 0.873 0.486
11 H 0.750 0.373 0.014
12 H 0.750 0.127 0.514
13 H 0.250 0.612 0.229
14 H 0.250 0.888 0.729
15 H 0.750 0.388 0.771
16 H 0.750 0.112 0.271
17 H 0.980 0.146 0.883
18 H 0.520 0.354 0.383
19 H 0.480 0.854 0.117
20 H 0.020 0.646 0.617
21 H 0.020 0.854 0.117
22 H 0.480 0.646 0.617
23 H 0.520 0.146 0.883
24 H 0.980 0.354 0.383

---

No. 3
Computed, not measured: a relaxed NaB2H6 crystal at the PBE-GGA level of DFT.

Computed properties:
Crystal system = cubic
Total magnetization = 0.00 μB per formula unit
Calculated total energy = -21.3 eV/f.u.
Calculated volume = 6.7 A^3/atom
Energy above the most stable polymorph in this dataset = 1557 meV/atom

Cell lengths 4.400, 4.400, 4.400 Å; angles 60.00, 60.00, 60.00 degrees
Fractional positions:
1 Na 0.000 0.000 0.000
2 B 0.750 0.750 0.750
3 B 0.250 0.250 0.250
4 H 0.349 0.651 0.651
5 H 0.651 0.651 0.349
6 H 0.651 0.349 0.651
7 H 0.651 0.349 0.349
8 H 0.349 0.349 0.651
9 H 0.349 0.651 0.349

---

No. 4
Computed, not measured: a relaxed NaBH4 crystal at the PBE-GGA level of DFT.

Computed properties:
Crystal system = orthorhombic
Total magnetization = 0.00 μB per formula unit
Calculated total energy = -23.4 eV/f.u.
Calculated volume = 9.2 A^3/atom

Cell lengths 4.251, 7.045, 7.336 Å; angles 90.00, 90.00, 90.00 degrees
Fractional positions:
1 Na 0.250 0.254 0.523
2 Na 0.750 0.746 0.477
3 Na 0.750 0.754 0.977
4 Na 0.250 0.246 0.023
5 B 0.250 0.944 0.765
6 B 0.750 0.056 0.235
7 B 0.750 0.444 0.735
8 B 0.250 0.556 0.265
9 H 0.514 0.534 0.694
10 H 0.014 0.466 0.306
11 H 0.486 0.034 0.806
12 H 0.986 0.966 0.194
13 H 0.486 0.466 0.306
14 H 0.986 0.534 0.694
15 H 0.514 0.966 0.194
16 H 0.014 0.034 0.806
17 H 0.250 0.710 0.342
18 H 0.750 0.290 0.658
19 H 0.750 0.210 0.158
20 H 0.250 0.790 0.842
21 H 0.750 0.083 0.401
22 H 0.250 0.917 0.599
23 H 0.250 0.583 0.099
24 H 0.750 0.417 0.901

---

No. 5
Computed, not measured: a relaxed NaBH4 crystal at the PBE-GGA level of DFT.

Computed properties:
Crystal system = orthorhombic
Total magnetization = 0.00 μB per formula unit
Calculated total energy = -23.4 eV/f.u.
Calculated volume = 9.8 A^3/atom

Cell lengths 4.268, 4.268, 6.439 Å; angles 90.00, 90.00, 93.85 degrees
Fractional positions:
1 Na 0.274 0.274 0.750
2 Na 0.726 0.726 0.250
3 B 0.793 0.793 0.750
4 B 0.207 0.207 0.250
5 H 0.926 0.246 0.250
6 H 0.074 0.754 0.750
7 H 0.246 0.926 0.250
8 H 0.754 0.074 0.750
9 H 0.667 0.667 0.597
10 H 0.333 0.333 0.097
11 H 0.667 0.667 0.903
12 H 0.333 0.333 0.403

---

No. 6
Computed, not measured: a relaxed NaB2H8 crystal at the PBE-GGA level of DFT.

Computed properties:
Crystal system = monoclinic
Total magnetization = 0.00 μB per formula unit
Calculated total energy = -41.8 eV/f.u.
Calculated volume = 8.5 A^3/atom
Energy above the most stable polymorph in this dataset = 0 meV/atom

Cell lengths 4.752, 4.273, 7.071 Å; angles 121.33, 90.00, 123.78 degrees
Fractional positions:
1 Na 0.000 0.000 0.000
2 B 0.166 0.332 0.721
3 B 0.834 0.668 0.279
4 H 0.672 0.781 0.237
5 H 0.891 0.219 0.763
6 H 0.206 0.411 0.577
7 H 0.794 0.589 0.423
8 H 0.109 0.781 0.237
9 H 0.328 0.219 0.763
10 H 0.413 0.827 0.909
11 H 0.587 0.173 0.091

---

Question: The lowest calculated total energy belongs to which entry?
Answer: NaB2H8

---

Question: Look up the calculated volume of the second one.
Answer: 9.0 A^3/atom

---

Question: What is the calculated volume in the fifth record?
Answer: 9.8 A^3/atom